The following is a PBE calculation of Ba2CaSbMo after structural relaxation, from the Alexandria database.

```
data_Ba2CaSbMo
_chemical_formula_sum 'Ba2 Ca1 Sb1 Mo1'
_symmetry_space_group_name_H-M 'P 4/m m m'
_symmetry_Int_Tables_number 123
_symmetry_space_group_name_Hall '-P 4 2'
_cell_length_a 6.361
_cell_length_b 6.361
_cell_length_c 4.981
_cell_angle_alpha 90.00
_cell_angle_beta 90.00
_cell_angle_gamma 90.00
loop_
_atom_site_label
_atom_site_fract_x
_atom_site_fract_y
_atom_site_fract_z
Ba1 0.000 0.500 0.000
Ca1 0.000 0.000 0.000
Sb1 0.500 0.500 0.500
Mo1 0.000 0.000 0.500
```

Final energy (eV for the cell shown): -15.68

***

The following is a PBE calculation of BaCaSbMo2 after structural relaxation, from the Alexandria database.

```
data_BaCaSbMo2
_chemical_formula_sum 'Ba1 Ca1 Sb1 Mo2'
_symmetry_space_group_name_H-M 'P 4/m m m'
_symmetry_Int_Tables_number 123
_symmetry_space_group_name_Hall '-P 4 2'
_cell_length_a 5.148
_cell_length_b 5.148
_cell_length_c 5.722
_cell_angle_alpha 90.00
_cell_angle_beta 90.00
_cell_angle_gamma 90.00
loop_
_atom_site_label
_atom_site_fract_x
_atom_site_fract_y
_atom_site_fract_z
Ba1 0.000 0.000 0.000
Ca1 0.500 0.500 0.000
Sb1 0.500 0.500 0.500
Mo1 0.000 0.500 0.500
```

Final energy (eV for the cell shown): -24.60

***

The following is a PBE calculation of Ba2SrCaMo after structural relaxation, from the Alexandria database.

```
data_Ba2SrCaMo
_chemical_formula_sum 'Ba2 Sr1 Ca1 Mo1'
_symmetry_space_group_name_H-M 'P 4/m m m'
_symmetry_Int_Tables_number 123
_symmetry_space_group_name_Hall '-P 4 2'
_cell_length_a 6.051
_cell_length_b 6.051
_cell_length_c 6.227
_cell_angle_alpha 90.00
_cell_angle_beta 90.00
_cell_angle_gamma 90.00
loop_
_atom_site_label
_atom_site_fract_x
_atom_site_fract_y
_atom_site_fract_z
Ba1 0.000 0.500 0.000
Sr1 0.000 0.000 0.500
Ca1 0.500 0.500 0.500
Mo1 0.000 0.000 0.000
```

E_form (meV per atom): 685.5
Final energy (eV for the cell shown): -14.93

***

The following is a PBE calculation of BaSrCa2Mo after structural relaxation, from the Alexandria database.

```
data_BaSrCa2Mo
_chemical_formula_sum 'Ba1 Sr1 Ca2 Mo1'
_symmetry_space_group_name_H-M 'P 4/m m m'
_symmetry_Int_Tables_number 123
_symmetry_space_group_name_Hall '-P 4 2'
_cell_length_a 5.883
_cell_length_b 5.883
_cell_length_c 6.061
_cell_angle_alpha 90.00
_cell_angle_beta 90.00
_cell_angle_gamma 90.00
loop_
_atom_site_label
_atom_site_fract_x
_atom_site_fract_y
_atom_site_fract_z
Ba1 0.000 0.000 0.000
Sr1 0.500 0.500 0.000
Ca1 0.000 0.500 0.500
Mo1 0.500 0.500 0.500
```

E_form (meV per atom): 595.6
Final energy (eV for the cell shown): -15.46

***

The following is a PBE calculation of BaCaY2Mo after structural relaxation, from the Alexandria database.

```
data_BaCaY2Mo
_chemical_formula_sum 'Ba1 Ca1 Y2 Mo1'
_symmetry_space_group_name_H-M 'P 4/m m m'
_symmetry_Int_Tables_number 123
_symmetry_space_group_name_Hall '-P 4 2'
_cell_length_a 5.461
_cell_length_b 5.461
_cell_length_c 6.086
_cell_angle_alpha 90.00
_cell_angle_beta 90.00
_cell_angle_gamma 90.00
loop_
_atom_site_label
_atom_site_fract_x
_atom_site_fract_y
_atom_site_fract_z
Ba1 0.000 0.000 0.000
Ca1 0.500 0.500 0.000
Y1 0.000 0.500 0.500
Mo1 0.500 0.500 0.500
```

E_form (meV per atom): 384.2
Final energy (eV for the cell shown): -25.76

***

The following is a PBE calculation of BaCa2ZnMo after structural relaxation, from the Alexandria database.

```
data_BaCa2ZnMo
_chemical_formula_sum 'Ba1 Ca2 Zn1 Mo1'
_symmetry_space_group_name_H-M 'P 4/m m m'
_symmetry_Int_Tables_number 123
_symmetry_space_group_name_Hall '-P 4 2'
_cell_length_a 5.711
_cell_length_b 5.711
_cell_length_c 6.086
_cell_angle_alpha 90.00
_cell_angle_beta 90.00
_cell_angle_gamma 90.00
loop_
_atom_site_label
_atom_site_fract_x
_atom_site_fract_y
_atom_site_fract_z
Ba1 0.000 0.000 0.000
Ca1 0.000 0.500 0.500
Zn1 0.000 0.000 0.500
Mo1 0.500 0.500 0.000
```

E_form (meV per atom): 851.0
Final energy (eV for the cell shown): -13.78

***

The following is a PBE calculation of BaCa3N2 after structural relaxation, from the Alexandria database.

```
data_BaCa3N2
_chemical_formula_sum 'Ba4 Ca12 N8'
_symmetry_space_group_name_H-M 'C 1 2/m 1'
_symmetry_Int_Tables_number 12
_symmetry_space_group_name_Hall '-C 2y'
_cell_length_a 15.194
_cell_length_b 4.009
_cell_length_c 13.576
_cell_angle_alpha 90.00
_cell_angle_beta 123.32
_cell_angle_gamma 90.00
loop_
_atom_site_label
_atom_site_fract_x
_atom_site_fract_y
_atom_site_fract_z
Ba1 0.181 0.000 0.119
Ca1 0.065 0.000 0.722
Ca2 0.125 0.500 0.579
Ca3 0.144 0.500 0.334
N1 0.009 0.500 0.372
N2 0.231 0.000 0.724
```

Final energy (eV for the cell shown): -111.85

***

The following is a PBE calculation of BaCa3N after structural relaxation, from the Alexandria database.

```
data_BaCa3N
_chemical_formula_sum 'Ba1 Ca3 N1'
_symmetry_space_group_name_H-M 'P m -3 m'
_symmetry_Int_Tables_number 221
_symmetry_space_group_name_Hall '-P 4 2 3'
_cell_length_a 6.719
_cell_length_b 6.719
_cell_length_c 6.719
_cell_angle_alpha 90.00
_cell_angle_beta 90.00
_cell_angle_gamma 90.00
loop_
_atom_site_label
_atom_site_fract_x
_atom_site_fract_y
_atom_site_fract_z
Ba1 0.000 0.000 0.000
Ca1 0.000 0.000 0.500
N1 0.500 0.500 0.500
```

Final energy (eV for the cell shown): -6.79
Energy above the lowest structure with this stoichiometry (eV per atom): 2.021

***

The following is a PBE calculation of BaCa2N after structural relaxation, from the Alexandria database.

```
data_BaCa2N
_chemical_formula_sum 'Ba4 Ca8 N4'
_symmetry_space_group_name_H-M 'I 41/a m d'
_symmetry_Int_Tables_number 141
_cell_length_a 7.511
_cell_length_b 7.511
_cell_length_c 10.643
_cell_angle_alpha 90.00
_cell_angle_beta 90.00
_cell_angle_gamma 90.00
loop_
_symmetry_equiv_pos_as_xyz
'x,y,z'
'-x,-y,-z'
'-y+1/4,x+3/4,z+1/4'
'y+1/4,-x+3/4,-z+1/4'
'-x+1/2,-y,z+1/2'
'x+1/2,y,-z+1/2'
'y+1/4,-x+1/4,z+3/4'
'-y+1/4,x+1/4,-z+3/4'
'x,-y,-z'
'-x,y,z'
'-y+1/4,-x+1/4,-z+3/4'
'y+1/4,x+1/4,z+3/4'
'-x+1/2,y,-z+1/2'
'x+1/2,-y,z+1/2'
'y+1/4,x+3/4,-z+1/4'
'-y+1/4,-x+3/4,z+1/4'
'x+1/2,y+1/2,z+1/2'
'-x+1/2,-y+1/2,-z+1/2'
'-y+3/4,x+1/4,z+3/4'
'y+3/4,-x+1/4,-z+3/4'
'-x,-y+1/2,z'
'x,y+1/2,-z'
'y+3/4,-x+3/4,z+1/4'
'-y+3/4,x+3/4,-z+1/4'
'x+1/2,-y+1/2,-z+1/2'
'-x+1/2,y+1/2,z+1/2'
'-y+3/4,-x+3/4,-z+1/4'
'y+3/4,x+3/4,z+1/4'
'-x,y+1/2,-z'
'x,-y+1/2,z'
'y+3/4,x+1/4,-z+3/4'
'-y+3/4,-x+1/4,z+3/4'
loop_
_atom_site_label
_atom_site_fract_x
_atom_site_fract_y
_atom_site_fract_z
Ba1 0.000 0.250 0.375
Ca1 0.000 0.000 0.000
N1 0.000 0.250 0.875
```

Final energy (eV for the cell shown): -61.79

***

The following is a PBE calculation of BaCaN after structural relaxation, from the Alexandria database.

```
data_BaCaN
_chemical_formula_sum 'Ba4 Ca4 N4'
_symmetry_space_group_name_H-M 'C 1 2/m 1'
_symmetry_Int_Tables_number 12
_symmetry_space_group_name_Hall '-C 2y'
_cell_length_a 13.248
_cell_length_b 4.308
_cell_length_c 8.478
_cell_angle_alpha 90.00
_cell_angle_beta 118.32
_cell_angle_gamma 90.00
loop_
_atom_site_label
_atom_site_fract_x
_atom_site_fract_y
_atom_site_fract_z
Ba1 0.054 0.000 0.246
Ca1 0.235 0.500 0.121
N1 0.148 0.000 0.028
```

Final energy (eV for the cell shown): -54.57
Energy above the lowest structure with this stoichiometry (eV per atom): 0.054

***

The following is a PBE calculation of BaCa3N after structural relaxation, from the Alexandria database.

```
data_BaCa3N
_chemical_formula_sum 'Ba1 Ca3 N1'
_symmetry_space_group_name_H-M 'P m -3 m'
_symmetry_Int_Tables_number 221
_symmetry_space_group_name_Hall '-P 4 2 3'
_cell_length_a 5.319
_cell_length_b 5.319
_cell_length_c 5.319
_cell_angle_alpha 90.00
_cell_angle_beta 90.00
_cell_angle_gamma 90.00
loop_
_atom_site_label
_atom_site_fract_x
_atom_site_fract_y
_atom_site_fract_z
Ba1 0.000 0.000 0.000
Ca1 0.000 0.500 0.500
N1 0.500 0.500 0.500
```

Final energy (eV for the cell shown): -16.89
Energy above the lowest structure with this stoichiometry (eV per atom): 0.000

***

The following is a PBE calculation of BaCa2N after structural relaxation, from the Alexandria database.

```
data_BaCa2N
_chemical_formula_sum 'Ba3 Ca6 N3'
_symmetry_space_group_name_H-M 'R -3 m'
_symmetry_Int_Tables_number 166
_symmetry_space_group_name_Hall '-R 3 2"'
_cell_length_a 3.7439
_cell_length_b 3.7439
_cell_length_c 30.7685
_cell_angle_alpha 90.00
_cell_angle_beta 90.00
_cell_angle_gamma 120.00
loop_
_atom_site_label
_atom_site_fract_x
_atom_site_fract_y
_atom_site_fract_z
Ba1 0.0000 0.0000 0.0000
Ca1 0.0000 0.0000 0.2067
N1 0.0000 0.0000 0.5000
```

Final energy (eV for the cell shown): -47.94

***

Q: Which of these has the highest final energy?
A: number 8

***

Q: Number 9 is which compound?
A: BaCa2N

***

Q: Which of these has the lowest final energy?
A: BaCa3N2

***

Q: Look up the final energy of the second one.
A: -24.60 eV for the cell shown